No. 1
Below is a relaxed structure of OsRh2Se, with properties calculated at the PBE level.

POSCAR file:
```
OsRh2Se
1.0
-2.843 3.320 -1.676
-3.566 -1.834 2.416
0.626 1.624 2.156
Rh Se Os
2 1 1
Direct
0.500 0.500 0.000 Rh
0.000 0.000 0.000 Rh
0.500 0.000 0.500 Se
0.000 0.500 0.500 Os
```

Properties
Fermi-level density of states   1.35 states/eV per atom
Formation energy from raw total energies   0.43 eV per atom
Theoretical density   12.990 g/cm3
Calculated volume   15.18 A^3/atom
Energy   -0.5093 Ry per atom



No. 2
Below is a relaxed structure of OsRh2Se, with properties calculated at the PBE level.

POSCAR file:
```
OsRh2Se
1.0
-3.764 1.092 2.654
-0.603 -4.232 -2.032
1.215 -1.247 2.236
Rh Se Os
2 1 1
Direct
0.500 0.500 0.000 Rh
0.000 0.000 0.000 Rh
0.500 0.000 0.500 Se
0.000 0.500 0.500 Os
```

Properties
Fermi-level density of states   1.07 states/eV per atom
Formation energy from raw total energies   0.34 eV per atom
Theoretical density   13.240 g/cm3
Calculated volume   14.89 A^3/atom
Energy   -0.5159 Ry per atom



No. 3
Below is a relaxed structure of OsRh2Se, with properties calculated at the PBE level.

POSCAR file:
```
OsRh2Se
1.0
4.762 0.000 0.000
1.509 4.517 0.000
-3.135 -2.258 2.783
Rh Os Se
2 1 1
Direct
0.000 0.000 0.000 Rh
0.500 0.500 0.000 Rh
0.750 0.250 0.500 Os
0.250 0.750 0.500 Se
```

Properties
Fermi-level density of states   1.06 states/eV per atom
Formation energy from raw total energies   0.48 eV per atom
Theoretical density   13.176 g/cm3
Calculated volume   14.97 A^3/atom
Energy   -0.5054 Ry per atom



No. 4
Below is a relaxed structure of OsRh2Se, with properties calculated at the PBE level.

POSCAR file:
```
OsRh2Se
1.0
3.791 0.000 0.000
0.000 2.828 0.044
0.000 2.709 5.649
Os Rh Se
1 2 1
Direct
0.500 0.750 0.750 Os
0.000 0.482 0.514 Rh
0.000 0.018 0.986 Rh
0.500 0.250 0.250 Se
```

Properties
Fermi-level density of states   0.95 states/eV per atom
Formation energy from raw total energies   0.29 eV per atom
Theoretical density   13.120 g/cm3
Calculated volume   15.03 A^3/atom
Energy   -0.5192 Ry per atom



No. 5
Below is a relaxed structure of OsRh2Se, with properties calculated at the PBE level.

POSCAR file:
```
OsRh2Se
1.0
-2.607 -3.875 2.736
2.061 -4.975 0.544
0.458 5.329 0.829
Rh Se Os
2 1 1
Direct
0.720 0.220 0.500 Rh
0.013 0.013 0.000 Rh
0.490 0.490 0.000 Se
0.278 0.778 0.500 Os
```

Properties
Fermi-level density of states   1.18 states/eV per atom
Formation energy from raw total energies   0.33 eV per atom
Theoretical density   13.087 g/cm3
Calculated volume   15.07 A^3/atom
Energy   -0.5160 Ry per atom



No. 6
Below is a relaxed structure of OsRh2Se, with properties calculated at the PBE level.

POSCAR file:
```
OsRh2Se
1.0
-1.186 -5.385 6.520
0.521 -6.995 4.871
1.661 -5.071 6.667
Se Rh Os
1 2 1
Direct
0.500 0.500 0.500 Se
0.246 0.246 0.246 Rh
0.002 0.002 0.002 Rh
0.752 0.752 0.752 Os
```

Properties
Fermi-level density of states   0.98 states/eV per atom
Formation energy from raw total energies   0.32 eV per atom
Theoretical density   13.215 g/cm3
Calculated volume   14.92 A^3/atom
Energy   -0.5171 Ry per atom



No. 7
Below is a relaxed structure of OsRh2Se, with properties calculated at the PBE level.

POSCAR file:
```
OsRh2Se
1.0
2.762 -0.004 0.000
-1.364 2.402 0.000
0.000 0.000 9.248
Os Se Rh
1 1 2
Direct
0.500 0.500 0.756 Os
0.000 0.000 0.494 Se
0.000 0.000 0.998 Rh
0.500 0.500 0.251 Rh
```

Properties
Fermi-level density of states   1.50 states/eV per atom
Formation energy from raw total energies   0.57 eV per atom
Theoretical density   12.866 g/cm3
Calculated volume   15.33 A^3/atom
Energy   -0.4986 Ry per atom



No. 8
Below is a relaxed structure of Os4RhSe, with properties calculated at the PBE level.

POSCAR file:
```
Os4RhSe
1.0
0.000 3.657 3.657
3.657 0.000 3.657
3.657 3.657 0.000
Rh Os Se
1 4 1
Direct
0.750 0.750 0.750 Rh
0.376 0.376 0.376 Os
0.873 0.376 0.376 Os
0.376 0.376 0.873 Os
0.376 0.873 0.376 Os
0.000 0.000 0.000 Se
```

Properties
Fermi-level density of states   1.71 states/eV per atom
Formation energy from raw total energies   1.09 eV per atom
Theoretical density   16.011 g/cm3
Calculated volume   16.30 A^3/atom
Energy   -0.6031 Ry per atom



No. 9
Below is a relaxed structure of OsRh2Se, with properties calculated at the PBE level.

POSCAR file:
```
OsRh2Se
1.0
2.766 -0.006 0.000
-1.396 2.388 0.000
0.000 0.000 9.275
Os Rh Se
1 2 1
Direct
0.500 0.500 0.750 Os
0.000 0.000 0.997 Rh
0.000 0.000 0.503 Rh
0.500 0.500 0.250 Se
```

Properties
Fermi-level density of states   1.29 states/eV per atom
Formation energy from raw total energies   0.45 eV per atom
Theoretical density   12.889 g/cm3
Calculated volume   15.30 A^3/atom
Energy   -0.5078 Ry per atom



No. 10
Below is a relaxed structure of OsRhSe2, with properties calculated at the PBE level.

POSCAR file:
```
OsRhSe2
1.0
-1.309 -0.886 -4.883
0.748 -3.031 -4.073
-4.421 -3.745 1.312
Os Se Rh
1 2 1
Direct
0.464 0.464 0.377 Os
0.809 0.809 0.642 Se
0.039 0.039 0.080 Se
0.188 0.188 0.401 Rh
```

Properties
Fermi-level density of states   1.04 states/eV per atom
Relative energy among the computed polymorphs   123 meV per atom
Formation energy from raw total energies   0.22 eV per atom
Theoretical density   8.398 g/cm3
Calculated volume   22.30 A^3/atom
Energy   -0.4536 Ry per atom



No. 11
Below is a relaxed structure of OsRhSe2, with properties calculated at the PBE level.

POSCAR file:
```
OsRhSe2
1.0
-2.150 -3.459 0.679
0.602 -0.870 -2.529
4.385 -1.816 4.634
Se Os Rh
2 1 1
Direct
0.000 0.003 0.003 Se
0.000 0.497 0.497 Se
0.500 0.250 0.250 Os
0.500 0.750 0.750 Rh
```

Properties
Fermi-level density of states   0.77 states/eV per atom
Relative energy among the computed polymorphs   414 meV per atom
Formation energy from raw total energies   0.51 eV per atom
Theoretical density   10.953 g/cm3
Calculated volume   17.10 A^3/atom
Energy   -0.4322 Ry per atom



No. 12
Below is a relaxed structure of OsRhSe2, with properties calculated at the PBE level.

POSCAR file:
```
OsRhSe2
1.0
5.593 0.000 0.000
0.000 5.593 0.000
2.796 2.796 5.461
Os Rh Se
2 2 4
Direct
0.000 0.000 0.000 Os
0.750 0.250 0.500 Os
0.250 0.750 0.500 Rh
0.500 0.500 0.000 Rh
0.875 0.882 0.750 Se
0.118 0.625 0.250 Se
0.375 0.368 0.750 Se
0.632 0.125 0.250 Se
```

Properties
Fermi-level density of states   0.83 states/eV per atom
Relative energy among the computed polymorphs   148 meV per atom
Formation energy from raw total energies   0.24 eV per atom
Theoretical density   8.770 g/cm3
Calculated volume   21.35 A^3/atom
Energy   -0.4517 Ry per atom